1.
A geometry-optimized Sc4TiIr2 structure. Source: Alexandria via LeMat-Bulk, functional PBE-GGA. Values from VASP.

E_tot: -7.066 eV/atom

Geometry as Quantum ESPRESSO input:
```
&SYSTEM
  ibrav = 0, nat = 7, ntyp = 3
/
ATOMIC_SPECIES
Sc 44.96 Sc.upf
Ti 47.87 Ti.upf
Ir 192.22 Ir.upf
ATOMIC_POSITIONS crystal
Sc 0.0000 0.5000 0.5000
Sc 0.1993 0.1993 0.0000
Sc 0.5000 0.0000 0.5000
Sc 0.8007 0.8007 0.0000
Ti 0.0000 0.0000 0.0000
Ir 0.3811 0.3811 0.0000
Ir 0.6189 0.6189 0.0000
CELL_PARAMETERS angstrom
-2.3422 2.3422 6.6903
2.3422 -2.3422 6.6903
2.3422 2.3422 -6.6903
```



2.
A geometry-optimized ScTiIr structure. Source: Alexandria via LeMat-Bulk, functional PBE-GGA. Values from VASP.

E_tot: -8.219 eV/atom

Geometry as Quantum ESPRESSO input:
```
&SYSTEM
  ibrav = 0, nat = 3, ntyp = 3
/
ATOMIC_SPECIES
Sc 44.96 Sc.upf
Ti 47.87 Ti.upf
Ir 192.22 Ir.upf
ATOMIC_POSITIONS crystal
Sc 0.0000 0.0000 0.0000
Ti 0.5000 0.5000 0.5000
Ir 0.7500 0.7500 0.7500
CELL_PARAMETERS angstrom
0.0000 3.1077 3.1077
3.1077 0.0000 3.1077
3.1077 3.1077 0.0000
```



3.
A geometry-optimized Sc3TiIr structure. Source: Alexandria via LeMat-Bulk, functional PBE-GGA. Values from VASP.

E_tot: -7.114 eV/atom

Geometry as Quantum ESPRESSO input:
```
&SYSTEM
  ibrav = 0, nat = 5, ntyp = 3
/
ATOMIC_SPECIES
Sc 44.96 Sc.upf
Ti 47.87 Ti.upf
Ir 192.22 Ir.upf
ATOMIC_POSITIONS crystal
Sc 0.0000 0.0000 0.5000
Sc 0.0000 0.5000 0.0000
Sc 0.5000 0.0000 0.0000
Ti 0.5000 0.5000 0.5000
Ir 0.0000 0.0000 0.0000
CELL_PARAMETERS angstrom
5.0161 0.0000 0.0000
0.0000 5.0161 0.0000
0.0000 0.0000 5.0161
```



4.
A geometry-optimized ScTi3Ir4 structure. Source: Alexandria via LeMat-Bulk, functional PBE-GGA. Values from VASP.

E_tot: -9.039 eV/atom

Geometry as Quantum ESPRESSO input:
```
&SYSTEM
  ibrav = 0, nat = 8, ntyp = 3
/
ATOMIC_SPECIES
Sc 44.96 Sc.upf
Ti 47.87 Ti.upf
Ir 192.22 Ir.upf
ATOMIC_POSITIONS crystal
Sc 0.0000 0.0000 0.0000
Ti 0.0000 0.0000 0.5000
Ti 0.5000 0.5000 0.0000
Ti 0.5000 0.5000 0.5000
Ir 0.0000 0.5000 0.2630
Ir 0.0000 0.5000 0.7370
Ir 0.5000 0.0000 0.2630
Ir 0.5000 0.0000 0.7370
CELL_PARAMETERS angstrom
4.2381 0.0000 0.0000
0.0000 4.2381 0.0000
0.0000 0.0000 6.9300
```



In μB/atom, the total magnetic moment values for the records above are, in order, 0.07 0.00 0.52 0.00.
In eV/atom, the energy of formation from the pure elements values for the records above are, in order, 0.212 -0.523 0.036 -0.857.